Na2CoF4 (GGA+U, optimized geometry); final energy = -0.170 Ha/atom
1.0
-2.1629 -1.8042 1.5191
3.6006 -4.6071 -0.3452
1.0797 4.6473 3.6861
Na F Co
2 4 1
Cartesian
1.0808 0.9237 2.6359
1.4367 -2.6877 2.2241
-0.1627 -1.0977 1.8353
2.9899 -3.0220 0.6679
-0.4724 1.2580 4.1921
2.6802 -0.6663 3.0247
0.0000 0.0000 0.0000